[1]
# Y2MgV, optimized geometry, DFT PBE
# ρ (g/cm3): 4.097
# Calculated total energy (Ha/atom): -0.2127
data_Y2MgV
_cell_length_a 3.633
_cell_length_b 3.633
_cell_length_c 7.769
_cell_angle_alpha 90.00
_cell_angle_beta 90.00
_cell_angle_gamma 90.00
_space_group_name_H-M_alt 'P 4/m m m'
_space_group_IT_number 123
_space_group_name_Hall '-P 4 2'
loop_
_atom_site_label
_atom_site_type_symbol
_atom_site_fract_x
_atom_site_fract_y
_atom_site_fract_z
Y1 Y 0.000 0.000 0.222
Mg1 Mg 0.500 0.500 0.500
V1 V 0.500 0.500 0.000

***

[2]
# AlReMo2, optimized geometry, DFT PBE
# ρ (g/cm3): 10.842
# Calculated total energy (Ha/atom): -0.3439
data_AlReMo2
_cell_length_a 2.8287
_cell_length_b 2.8287
_cell_length_c 26.8587
_cell_angle_alpha 90.00
_cell_angle_beta 90.00
_cell_angle_gamma 120.00
_space_group_name_H-M_alt 'R 3 m'
_space_group_IT_number 160
_space_group_name_Hall 'R 3 -2"'
loop_
_atom_site_label
_atom_site_type_symbol
_atom_site_fract_x
_atom_site_fract_y
_atom_site_fract_z
Al1 Al 0.0000 0.0000 0.0000
Re1 Re 0.0000 0.0000 0.2526
Mo1 Mo 0.0000 0.0000 0.5055
Mo2 Mo 0.0000 0.0000 0.7512

***

[3]
# Cs3Rb6Na2, optimized geometry, DFT PBE
# ρ (g/cm3): 1.599
# Calculated total energy (Ha/atom): -0.0352
data_Cs3Rb6Na2
_cell_length_a 6.812
_cell_length_b 6.812
_cell_length_c 42.845
_cell_angle_alpha 90.00
_cell_angle_beta 90.00
_cell_angle_gamma 90.00
_space_group_name_H-M_alt 'I 4/m m m'
_space_group_IT_number 139
_space_group_name_Hall '-I 4 2'
loop_
_atom_site_label
_atom_site_type_symbol
_atom_site_fract_x
_atom_site_fract_y
_atom_site_fract_z
Cs1 Cs 0.000 0.000 0.000
Cs2 Cs 0.000 0.000 0.205
Rb1 Rb 0.000 0.000 0.321
Rb2 Rb 0.000 0.500 0.098
Na1 Na 0.000 0.000 0.461

***

What did we get for total moment? Answer: 3.053; 0.000; 0.000 μB per formula unit, in the order shown.